No. 1
Material: TiSiNi6
Method: DFT, PBE
State: relaxed

Geometry as extended XYZ:
```
32
Lattice="6.160 0.271 0.000 -2.334 5.707 0.000 0.000 0.000 10.062" Properties=species:S:1:pos:R:3 pbc="T T T"
Ni -0.117 2.138 1.230
Ni 1.835 5.190 1.230
Ti 1.913 2.989 10.055
Ni -0.117 2.138 3.801
Ti -0.154 4.312 2.515
Ni 0.000 0.000 2.515
Si 3.961 1.678 7.546
Ni -0.211 4.349 10.011
Si -0.135 4.300 7.546
Ni 1.826 5.196 8.778
Ni 1.913 2.989 7.546
Ni 2.000 0.782 6.315
Ni 1.835 5.190 3.801
Si 0.000 0.000 5.037
Ni 1.991 0.789 1.230
Ni 3.954 3.835 8.778
Ni 4.037 1.630 5.082
Ni 3.954 3.835 6.315
Ni 1.826 5.196 6.315
Si 0.000 0.000 10.056
Ni 1.913 2.989 2.515
Ti 1.913 2.989 5.038
Ni 4.037 1.630 10.011
Ni 1.991 0.789 3.801
Ti 3.981 1.666 2.515
Ni 3.944 3.840 3.801
Ni 0.000 0.000 7.546
Ni 2.000 0.782 8.778
Ni -0.211 4.349 5.082
Ni -0.127 2.144 8.778
Ni 3.944 3.840 1.230
Ni -0.127 2.144 6.315
```

**Distance to the lowest polymorph of the same formula**: 0.0 meV per atom
**Energy relative to the elements, uncorrected**: -352.1 kJ/mol of formula units
**Total magnetization**: 0.000 μB/f.u.

***

No. 2
Material: Ti2SiNi3
Method: DFT, PBE
State: relaxed

Geometry as extended XYZ:
```
12
Lattice="-4.026 -2.522 -0.827 3.316 -1.689 3.066 -3.420 3.595 5.680" Properties=species:S:1:pos:R:3 pbc="T T T"
Ti -3.104 -0.640 3.004
Ti -1.762 -2.051 0.776
Ni -3.716 -0.515 5.600
Ni -3.367 1.555 4.499
Ni -0.762 -2.171 3.419
Ni 1.217 -0.932 3.826
Ti -1.025 0.024 4.914
Ti -2.367 1.435 7.142
Si 0.000 0.000 0.000
Si -1.710 1.798 2.840
Ni -0.413 -0.101 2.319
Ni -5.346 0.315 4.092
```

**Energy relative to the elements, uncorrected**: -356.4 kJ/mol of formula units
**Total magnetization**: 0.001 μB/f.u.

***

No. 3
Material: TiSiNi6
Method: DFT, PBE
State: relaxed

Geometry as extended XYZ:
```
8
Lattice="-0.295 0.365 -4.771 -1.770 -3.634 -2.577 -6.021 1.152 -1.948" Properties=species:S:1:pos:R:3 pbc="T T T"
Ni -6.011 -2.403 -5.861
Si 0.000 0.000 0.000
Ni -5.290 -0.449 -6.933
Ni -2.796 -1.669 -2.363
Ti -4.043 -1.059 -4.648
Ni -1.931 0.107 -1.104
Ni -6.155 -2.224 -8.192
Ni -2.075 0.285 -3.435
```

**Distance to the lowest polymorph of the same formula**: 552.6 meV per atom
**Energy relative to the elements, uncorrected**: 74.4 kJ/mol of formula units
**Total magnetization**: 0.000 μB/f.u.

***

No. 4
Material: Ti2SiNi6
Method: DFT, PBE
State: relaxed

Geometry as extended XYZ:
```
9
Lattice="2.650 0.000 0.188 0.000 6.702 0.000 -0.443 -3.351 6.255" Properties=species:S:1:pos:R:3 pbc="T T T"
Ni -0.301 -2.122 4.260
Ni 2.508 5.473 2.183
Ni 2.508 1.229 2.183
Ni -0.301 2.122 4.260
Si 0.000 0.000 0.000
Ni 0.882 -1.340 6.349
Ni 1.325 4.690 0.094
Ti 1.165 3.351 2.346
Ti 1.042 0.000 4.097
```

**Energy relative to the elements, uncorrected**: -245.1 kJ/mol of formula units
**Total magnetization**: 0.000 μB/f.u.